Entry 1:
{"formula": "ErTcB", "functional": "PBE-GGA", "state": "relaxed", "ef_ev_per_fu": -0.10, "density_g_cm3": 8.14, "crystal_system": "monoclinic", "lattice_angstrom": [[3.357, -2.005, 0.000], [3.357, 2.005, 0.000], [-0.157, 0.000, 8.368]], "species": ["Er", "Er", "Tc", "Tc", "B", "B"], "frac_coords": [[0.168, 0.168, 0.308], [0.832, 0.832, 0.692], [0.170, 0.170, 0.952], [0.830, 0.830, 0.048], [0.492, 0.492, 0.109], [0.508, 0.508, 0.891]]}


Entry 2:
{"formula": "Er3Tc2B9", "functional": "PBE-GGA", "state": "relaxed", "ef_ev_per_fu": -3.94, "density_g_cm3": 8.04, "crystal_system": "orthorhombic", "lattice_angstrom": [[-1.570, 3.906, 6.690], [1.570, -3.906, 6.690], [1.570, 3.906, -6.690]], "species": ["Er", "Er", "Er", "Tc", "Tc", "B", "B", "B", "B", "B", "B", "B", "B", "B"], "frac_coords": [[0.000, 0.000, 0.000], [0.271, 0.271, 0.000], [0.729, 0.729, 0.000], [0.319, 0.500, 0.819], [0.681, 0.500, 0.181], [0.032, 0.362, 0.670], [0.122, 0.871, 0.251], [0.309, 0.638, 0.670], [0.380, 0.129, 0.251], [0.500, 0.000, 0.500], [0.620, 0.871, 0.749], [0.691, 0.362, 0.330], [0.878, 0.129, 0.749], [0.968, 0.638, 0.330]]}